No. 1
{"formula": "LaAl2Pd5Au", "functional": "GGA-PBE", "state": "relaxed", "delta_e_f_mev_per_atom": -471, "lattice_angstrom": [[4.734, 0.000, 0.000], [0.000, 4.734, 0.000], [0.000, 0.000, 7.467]], "species": ["La", "Al", "Al", "Pd", "Pd", "Pd", "Pd", "Pd", "Au"], "frac_coords": [[0.000, 0.000, 0.000], [0.500, 0.500, 0.332], [0.500, 0.500, 0.668], [0.000, 0.500, 0.270], [0.000, 0.500, 0.730], [0.500, 0.000, 0.270], [0.500, 0.000, 0.730], [0.500, 0.500, 0.000], [0.000, 0.000, 0.500]]}



No. 2
{"formula": "Tb6Nd12Tm", "functional": "GGA-PBE", "state": "relaxed", "de_polymorph_mev_per_atom": 0, "delta_e_f_mev_per_atom": 132, "lattice_angstrom": [[6.097, 3.520, 5.109], [-6.097, 3.520, 5.109], [0.000, -7.040, 5.109]], "species": ["Tb", "Tb", "Tb", "Tb", "Tb", "Tb", "Nd", "Nd", "Nd", "Nd", "Nd", "Nd", "Nd", "Nd", "Nd", "Nd", "Nd", "Nd", "Tm"], "frac_coords": [[0.203, 0.760, 0.598], [0.240, 0.402, 0.797], [0.402, 0.797, 0.240], [0.598, 0.203, 0.760], [0.760, 0.598, 0.203], [0.797, 0.240, 0.402], [0.037, 0.933, 0.281], [0.067, 0.719, 0.963], [0.138, 0.482, 0.307], [0.281, 0.037, 0.933], [0.307, 0.138, 0.482], [0.482, 0.307, 0.138], [0.518, 0.693, 0.862], [0.693, 0.862, 0.518], [0.719, 0.963, 0.067], [0.862, 0.518, 0.693], [0.933, 0.281, 0.037], [0.963, 0.067, 0.719], [0.500, 0.500, 0.500]]}



No. 3
{"formula": "NpSnHgCl6", "functional": "GGA-PBE", "state": "relaxed", "formation_energy_uncorrected_ev_per_atom": -1.240, "lattice_angstrom": [[7.275, 0.000, 0.000], [-3.637, 6.300, 0.000], [0.000, 0.000, 8.816]], "species": ["Np", "Sn", "Hg", "Cl", "Cl", "Cl", "Cl", "Cl", "Cl"], "frac_coords": [[0.000, 0.000, 0.000], [0.333, 0.667, 0.000], [0.667, 0.333, 0.500], [0.025, 0.310, 0.832], [0.025, 0.715, 0.168], [0.285, 0.310, 0.168], [0.285, 0.975, 0.832], [0.690, 0.715, 0.832], [0.690, 0.975, 0.168]]}



No. 4
{"formula": "As2Pd5", "functional": "GGA-PBE", "state": "relaxed", "de_polymorph_mev_per_atom": 0, "delta_e_f_mev_per_atom": -347, "lattice_angstrom": [[7.424, 0.000, 0.000], [-3.712, 6.430, 0.000], [0.000, 0.000, 13.873]], "species": ["As", "As", "As", "As", "As", "As", "As", "As", "As", "As", "As", "As", "Pd", "Pd", "Pd", "Pd", "Pd", "Pd", "Pd", "Pd", "Pd", "Pd", "Pd", "Pd", "Pd", "Pd", "Pd", "Pd", "Pd", "Pd", "Pd", "Pd", "Pd", "Pd", "Pd", "Pd", "Pd", "Pd", "Pd", "Pd", "Pd", "Pd"], "frac_coords": [[0.000, 0.000, 0.000], [0.000, 0.000, 0.500], [0.000, 0.327, 0.270], [0.000, 0.673, 0.770], [0.327, 0.000, 0.270], [0.327, 0.327, 0.770], [0.333, 0.667, 0.042], [0.333, 0.667, 0.542], [0.667, 0.333, 0.042], [0.667, 0.333, 0.542], [0.673, 0.000, 0.770], [0.673, 0.673, 0.270], [0.000, 0.000, 0.204], [0.000, 0.000, 0.704], [0.000, 0.242, 0.870], [0.000, 0.296, 0.077], [0.000, 0.386, 0.682], [0.000, 0.397, 0.463], [0.000, 0.603, 0.963], [0.000, 0.614, 0.182], [0.000, 0.704, 0.577], [0.000, 0.758, 0.370], [0.242, 0.000, 0.870], [0.242, 0.242, 0.370], [0.296, 0.000, 0.077], [0.296, 0.296, 0.577], [0.333, 0.667, 0.328], [0.333, 0.667, 0.828], [0.386, 0.000, 0.682], [0.386, 0.386, 0.182], [0.397, 0.000, 0.463], [0.397, 0.397, 0.963], [0.603, 0.000, 0.963], [0.603, 0.603, 0.463], [0.614, 0.000, 0.182], [0.614, 0.614, 0.682], [0.667, 0.333, 0.328], [0.667, 0.333, 0.828], [0.704, 0.000, 0.577], [0.704, 0.704, 0.077], [0.758, 0.000, 0.370], [0.758, 0.758, 0.870]]}



Number 1: M_tot 0.00 μB per cell. Number 2: M_tot 0.00 μB per cell. Number 3: M_tot 3.00 μB per cell. Number 4: M_tot 0.00 μB per cell.